Record 1
DFT (PBE) results for SnAu after structural relaxation.

- Space-group type: P-6m2

abc: 3.3057 3.3057 4.6776
angles: 90.00 90.00 120.00
Closest atoms and distances in Å follow each position.
Sites, in units of the cell vectors:
Sn  0.0000  0.0000  0.0000  6 Au 3.02, 6 Sn 3.31
Au  0.3333  0.6667  0.5000  6 Sn 3.02, 6 Au 3.31

Record 2
DFT (PBE) results for Sn5Au2 after structural relaxation.

- Space-group type: R3m

abc: 8.8584 8.8584 8.8584
angles: 33.01 33.01 33.01
Closest atoms and distances in Å follow each position.
Sites, in units of the cell vectors:
Sn  0.0000  0.0000  0.0000  4 Sn 2.93-3.04, 3 Au 3.12
Sn  0.1169  0.1169  0.1169  5 Sn 2.93-3.17
Sn  0.2430  0.2430  0.2430  4 Au 3.11-3.40, 4 Sn 3.17-3.21
Sn  0.4960  0.4960  0.4960  4 Au 2.95-3.04, 3 Sn 3.13
Sn  0.6306  0.6306  0.6306  7 Sn 3.04-3.38
Au  0.3784  0.3784  0.3784  4 Sn 2.95-3.12
Au  0.8650  0.8650  0.8650  7 Sn 3.04-3.39

| no. | VASP energy (Ry per atom) |
| --- | --- |
| 1 | -0.26449 |
| 2 | -0.27271 |